Entry from the Alexandria database: crystalline CuAuNO2 at its relaxed geometry (PBE-GGA).

a = 3.8141 Å, b = 3.8141 Å, c = 3.8281 Å
α = 90.00°, β = 90.00°, γ = 90.00°
Positions (direct):
O1 0.5000 0.0000 0.0000
Cu1 0.0000 0.0000 0.0000
Au1 0.5000 0.5000 0.5000
N1 0.0000 0.0000 0.5000
O2 0.0000 0.5000 0.0000

Computed properties:
The raw formation energy is 509.1 kJ/mol of formula units. The density of states at the Fermi level comes out at 1.503 states/eV/atom.